# 1
This record from the Alexandria database describes an optimized crystal structure of ZnCoNi3. The functional is PBE-GGA.

crystal system: cubic
SG: Pm-3m
relative energy among the computed polymorphs: 6.22 eV/f.u.
E_form: 1.191 eV per atom

Cell: 4.2745 4.2745 4.2745 Å, 90.00 90.00 90.00°
Closest atoms and distances in Å follow each position.
Fractional positions:
Zn: 0.0000 0.0000 0.0000  6 Ni 2.14
Co: 0.5000 0.5000 0.5000  12 Ni 3.02
Ni: 0.0000 0.0000 0.5000  2 Zn 2.14
Ni: 0.0000 0.5000 0.0000  2 Zn 2.14
Ni: 0.5000 0.0000 0.0000  2 Zn 2.14


# 2
This record from the Alexandria database describes an optimized crystal structure of CsK2HoI6. The functional is PBE-GGA.

crystal system: trigonal
SG: R3
raw formation energy: -1.46 eV per atom

Cell: 9.3277 9.3277 9.3277 Å, 56.49 56.49 56.49°
Closest atoms and distances in Å follow each position.
Fractional positions:
Cs: 0.0000 0.0000 0.0000  6 I 3.76-3.98
K: 0.2886 0.2886 0.2886  6 I 3.61-3.65
K: 0.8042 0.8042 0.8042  6 I 3.50-3.67
Ho: 0.4861 0.4861 0.4861  6 I 3.05
I: 0.1261 0.6693 0.4227  1 Ho 3.05
I: 0.2608 0.5754 0.8363  1 Ho 3.05
I: 0.4227 0.1261 0.6693  1 Ho 3.05
I: 0.5754 0.8363 0.2608  1 Ho 3.05
I: 0.6693 0.4227 0.1261  1 Ho 3.05
I: 0.8363 0.2608 0.5754  1 Ho 3.05


# 3
This record from the Alexandria database describes an optimized crystal structure of Cs2NaBr2. The functional is PBE-GGA.

crystal system: tetragonal
SG: P4/mbm
raw formation energy: -1.19 eV per atom
relative energy among the computed polymorphs: 0.36 eV/f.u.

Cell: 10.4395 10.4395 4.2816 Å, 90.00 90.00 90.00°
Closest atoms and distances in Å follow each position.
Fractional positions:
Cs: 0.1437 0.3563 0.0000  6 Br 3.71-3.75, 2 Na 4.01
Cs: 0.3563 0.8563 0.0000  6 Br 3.71-3.75, 2 Na 4.01
Cs: 0.6437 0.1437 0.0000  6 Br 3.71-3.75, 2 Na 4.01
Cs: 0.8563 0.6437 0.0000  6 Br 3.71-3.75, 2 Na 4.01
Na: 0.0000 0.0000 0.0000  4 Cs 4.01, 2 Na 4.28
Na: 0.5000 0.5000 0.0000  4 Cs 4.01, 2 Na 4.28
Br: 0.1513 0.6513 0.5000  6 Cs 3.71-3.75
Br: 0.3487 0.1513 0.5000  6 Cs 3.71-3.75
Br: 0.6513 0.8487 0.5000  6 Cs 3.71-3.75
Br: 0.8487 0.3487 0.5000  6 Cs 3.71-3.75


# 4
This record from the Alexandria database describes an optimized crystal structure of Tl6CdIn5. The functional is PBE-GGA.

crystal system: monoclinic
SG: P2/m
E_form: 0.042 eV per atom

Cell: 5.2118 9.3166 7.4730 Å, 90.00 108.80 90.00°
Closest atoms and distances in Å follow each position.
Fractional positions:
Tl: 0.0000 0.2463 0.0000  6 In 3.30-3.47, 4 Tl 3.46-3.56, 2 Cd 3.52
Tl: 0.0000 0.7537 0.0000  6 In 3.30-3.47, 4 Tl 3.46-3.56, 2 Cd 3.52
Tl: 0.3347 0.2560 0.6680  1 Cd 3.27, 7 In 3.32-3.54, 4 Tl 3.46-3.58
Tl: 0.3347 0.7440 0.6680  1 Cd 3.27, 7 In 3.32-3.54, 4 Tl 3.46-3.58
Tl: 0.6653 0.2560 0.3320  1 Cd 3.27, 7 In 3.32-3.54, 4 Tl 3.46-3.58
Tl: 0.6653 0.7440 0.3320  1 Cd 3.27, 7 In 3.32-3.54, 4 Tl 3.46-3.58
Cd: 0.5000 0.5000 0.0000  8 Tl 3.27-3.52, 4 In 3.43-3.53
In: 0.1625 0.5000 0.3261  8 Tl 3.30-3.46, 2 Cd 3.43-3.53, 2 In 3.53-3.64
In: 0.1700 0.0000 0.3411  8 Tl 3.32-3.54, 4 In 3.39-3.60
In: 0.5000 0.0000 0.0000  8 Tl 3.35-3.47, 4 In 3.50-3.60
In: 0.8300 0.0000 0.6589  8 Tl 3.32-3.54, 4 In 3.39-3.60
In: 0.8375 0.5000 0.6739  8 Tl 3.30-3.46, 2 Cd 3.43-3.53, 2 In 3.53-3.64


Calculated raw total energy, -3.954, -3.149, -2.467, -2.359 eV/atom (same order as the records).
Calculated magnetization, 3.0, 0.0, 0.0, 0.0 μB/f.u. (same order as the records).